[1]
# Au2I6F (PBE, relaxed)
# **Total energy**: -0.15050 Ry/atom
# **Uncorrected formation energy**: -0.078 eV/atom
# **Total magnetic moment**: 0.0 μB per formula unit
# **DOS at the Fermi energy**: 5.52 states/eV per cell
data_Au2I6F
_cell_length_a 9.393
_cell_length_b 9.766
_cell_length_c 9.766
_cell_angle_alpha 58.37
_cell_angle_beta 87.23
_cell_angle_gamma 87.23
_symmetry_space_group_name_H-M 'P 1'
_symmetry_Int_Tables_number 1
_symmetry_space_group_name_Hall 'P 1'
loop_
_atom_site_label
_atom_site_fract_x
_atom_site_fract_y
_atom_site_fract_z
Au1 0.250 0.748 0.752
Au2 0.250 0.248 0.252
Au3 0.750 0.252 0.248
Au4 0.750 0.752 0.748
I1 0.315 0.678 0.532
I2 0.185 0.468 0.322
I3 0.685 0.322 0.468
I4 0.815 0.532 0.678
I5 0.775 0.897 0.393
I6 0.725 0.607 0.103
I7 0.225 0.103 0.607
I8 0.275 0.393 0.897
I9 0.186 0.818 0.972
I10 0.314 0.028 0.182
I11 0.814 0.182 0.028
I12 0.686 0.972 0.818
F1 0.250 0.248 0.752
F2 0.750 0.752 0.248

***

[2]
# CdRe3I (PBE, relaxed)
# **Total energy**: -0.38720 Ry/atom
# **Uncorrected formation energy**: 2.694 eV/atom
# **Total magnetic moment**: 2.1 μB per formula unit
# **Distance to the lowest polymorph of the same formula**: 0 meV per atom
# **DOS at the Fermi energy**: 3.72 states/eV per cell
data_CdRe3I
_cell_length_a 4.840
_cell_length_b 4.840
_cell_length_c 4.840
_cell_angle_alpha 90.00
_cell_angle_beta 90.00
_cell_angle_gamma 90.00
_symmetry_space_group_name_H-M 'P 1'
_symmetry_Int_Tables_number 1
_symmetry_space_group_name_Hall 'P 1'
loop_
_atom_site_label
_atom_site_fract_x
_atom_site_fract_y
_atom_site_fract_z
I1 0.000 0.000 0.000
Re1 0.000 0.500 0.000
Re2 0.000 0.000 0.500
Re3 0.500 0.000 0.000
Cd1 0.500 0.500 0.500

***

[3]
# KOsRh2 (PBE, relaxed)
# **Total energy**: -0.40661 Ry/atom
# **Total magnetic moment**: 1.3 μB per formula unit
# **Distance to the lowest polymorph of the same formula**: 786 meV per atom
# **ΔH_f (0 K)**: 1.23 eV/atom
# **DOS at the Fermi energy**: 5.98 states/eV per cell
data_KOsRh2
_cell_length_a 2.683
_cell_length_b 5.303
_cell_length_c 4.850
_cell_angle_alpha 90.00
_cell_angle_beta 90.00
_cell_angle_gamma 90.00
_symmetry_space_group_name_H-M 'P 1'
_symmetry_Int_Tables_number 1
_symmetry_space_group_name_Hall 'P 1'
loop_
_atom_site_label
_atom_site_fract_x
_atom_site_fract_y
_atom_site_fract_z
K1 0.500 0.000 0.500
Os1 0.000 0.500 0.500
Rh1 0.000 0.000 0.000
Rh2 0.500 0.500 0.000